LaBeMo2 after structural relaxation. Source: Alexandria via LeMat-Bulk, functional PBE-GGA.

Summary:
- spin magnetization (μB per atom) = 0.000
- calculated formation energy (eV/atom) = 0.33
- space group = No. 123

a = 3.291 Å, b = 3.291 Å, c = 6.892 Å
α = 90.00°, β = 90.00°, γ = 90.00°
Fractional coordinates of all 4 atoms:
Mo1 0.000 0.000 0.412
Be1 0.500 0.500 0.250
La1 0.500 0.500 0.750
Mo2 0.000 0.000 0.088

=====

LaBeMo3 after structural relaxation. Source: Alexandria via LeMat-Bulk, functional PBE-GGA.

Summary:
- spin magnetization (μB per atom) = 0.000
- offset from the most stable computed form (eV per atom) = 0.000
- calculated formation energy (eV/atom) = 0.85
- space group = No. 221

a = 4.509 Å, b = 4.509 Å, c = 4.509 Å
α = 90.00°, β = 90.00°, γ = 90.00°
Fractional coordinates of all 5 atoms:
La1 0.500 0.500 0.500
Be1 0.000 0.000 0.000
Mo1 0.000 0.000 0.500
Mo2 0.500 0.000 0.000
Mo3 0.000 0.500 0.000

=====

La2BeMo after structural relaxation. Source: Alexandria via LeMat-Bulk, functional PBE-GGA.

Summary:
- spin magnetization (μB per atom) = 0.000
- calculated formation energy (eV/atom) = 0.29
- space group = No. 44

a = 5.839 Å, b = 5.839 Å, c = 4.882 Å
α = 65.33°, β = 65.33°, γ = 37.69°
Fractional coordinates of all 4 atoms:
Mo1 0.555 0.555 0.445
Be1 0.199 0.199 0.301
La1 0.769 0.769 0.731
La2 0.977 0.977 0.024

=====

LaBeMo2 after structural relaxation. Source: Alexandria via LeMat-Bulk, functional PBE-GGA.

Summary:
- spin magnetization (μB per atom) = 0.000
- calculated formation energy (eV/atom) = 0.41
- space group = No. 12

a = 4.476 Å, b = 4.476 Å, c = 5.685 Å
α = 76.32°, β = 76.32°, γ = 46.87°
Fractional coordinates of all 4 atoms:
La1 0.250 0.250 0.250
Be1 0.750 0.750 0.750
Mo1 0.050 0.050 0.866
Mo2 0.450 0.450 0.633

=====

Q: The highest calculated formation energy belongs to which entry?
A: LaBeMo3